AlAg2Pt: single point on PBEsol structure, meta-GGA SCAN.

* offset from the most stable computed form: 0.024 eV/atom
* density of states at the Fermi level: 0.33 states/eV/atom
* calculated density: 11.74 Mg/m³
* energy of formation from the pure elements: -0.35 eV/atom
* E: -142.08 eV for the cell shown

abc: 4.7779 4.7779 4.7779
angles: 132.21 128.29 73.06
Positions (direct):
Al  0.0000  0.0000  0.0000
Ag  0.4905  0.4905  0.0000
Ag  0.7521  0.2521  0.5000
Pt  0.2290  0.7290  0.5000